Here is a relaxed structure of LiCoGeW from OQMD via LeMat-Bulk. Energies are from PBE.

Cell and atoms, written as CIF:
```
data_LiCoGeW
_cell_length_a 4.1553
_cell_length_b 4.1553
_cell_length_c 4.1553
_cell_angle_alpha 60.00
_cell_angle_beta 60.00
_cell_angle_gamma 60.00
_symmetry_space_group_name_H-M 'P 1'
_symmetry_Int_Tables_number 1
_symmetry_space_group_name_Hall 'P 1'
loop_
_atom_site_label
_atom_site_type_symbol
_atom_site_fract_x
_atom_site_fract_y
_atom_site_fract_z
Ge1 Ge 0.0000 0.0000 0.0000
Li1 Li 0.2500 0.2500 0.2500
Co1 Co 0.7500 0.7500 0.7500
W1 W 0.5000 0.5000 0.5000
```

## Properties
Polymorph energy (0 for the lowest one)   0.000 eV per atom
Crystal system   cubic
Total magnetization   1.992 μB/f.u.
E   -0.4730 Ry per atom
V   50.73 Å³ per cell